Entry 1:
# CeGeSe2

An optimized crystal structure of CeGeSe2 (PBE, Alexandria).

- formation energy from raw total energies (eV/f.u.) = -1.42
- space group = R-3m, No. 166

a b c (Å): 3.9256 3.9256 25.9093
angles (deg): 90.00 90.00 120.00
Element x y z (fractional)
Ce (0.0000, 0.0000, 0.0000)
Ce (0.3333, 0.6667, 0.6667)
Ce (0.6667, 0.3333, 0.3333)
Ge (0.0000, 0.0000, 0.5000)
Ge (0.3333, 0.6667, 0.1667)
Ge (0.6667, 0.3333, 0.8333)
Se (0.0000, 0.0000, 0.1065)
Se (0.0000, 0.0000, 0.8935)
Se (0.3333, 0.6667, 0.5602)
Se (0.3333, 0.6667, 0.7732)
Se (0.6667, 0.3333, 0.2268)
Se (0.6667, 0.3333, 0.4398)


Entry 2:
# PmSm2HoSe5

An optimized crystal structure of PmSm2HoSe5 (PBE, Alexandria).

- formation energy from raw total energies (eV/f.u.) = -11.14
- space group = P4/mmm, No. 123

a b c (Å): 5.1244 5.1244 10.9336
angles (deg): 90.00 90.00 90.00
Element x y z (fractional)
Pm (0.0000, 0.0000, 0.0000)
Sm (0.5000, 0.5000, 0.3353)
Sm (0.5000, 0.5000, 0.6647)
Ho (0.0000, 0.0000, 0.5000)
Se (0.0000, 0.0000, 0.2502)
Se (0.0000, 0.0000, 0.7498)
Se (0.0000, 0.5000, 0.5000)
Se (0.5000, 0.0000, 0.5000)
Se (0.5000, 0.5000, 0.0000)


Entry 3:
# Dy4AlTe2Se

An optimized crystal structure of Dy4AlTe2Se (PBE, Alexandria).

- formation energy from raw total energies (eV/f.u.) = -9.41
- space group = P2/m, No. 10

a b c (Å): 7.4096 4.1603 7.5437
angles (deg): 90.00 108.47 90.00
Element x y z (fractional)
Dy (0.2418, 0.0000, 0.2308)
Dy (0.2541, 0.5000, 0.7764)
Dy (0.7459, 0.5000, 0.2236)
Dy (0.7582, 0.0000, 0.7692)
Al (0.0000, 0.5000, 0.0000)
Te (0.0000, 0.0000, 0.5000)
Te (0.5000, 0.5000, 0.5000)
Se (0.5000, 0.0000, 0.0000)


Entry 4:
# HfZnAg2Pt

An optimized crystal structure of HfZnAg2Pt (PBE, Alexandria).

- ΔE_f (eV per atom) = 1.51
- space group = P4/mmm, No. 123

a b c (Å): 5.0937 5.0937 5.0264
angles (deg): 90.00 90.00 90.00
Element x y z (fractional)
Hf (0.0000, 0.0000, 0.0000)
Zn (0.0000, 0.0000, 0.5000)
Ag (0.0000, 0.5000, 0.0000)
Ag (0.5000, 0.0000, 0.0000)
Pt (0.5000, 0.5000, 0.5000)


Entry 5:
# Dy2HoMg

An optimized crystal structure of Dy2HoMg (PBE, Alexandria).

- ΔE_f (eV per atom) = 0.04
- space group = Cm, No. 8

a b c (Å): 6.0402 3.4791 11.5162
angles (deg): 90.00 100.10 90.00
Element x y z (fractional)
Dy (0.0000, 0.0000, 0.0000)
Dy (0.1648, 0.0000, 0.4951)
Dy (0.5000, 0.5000, 0.0000)
Dy (0.6648, 0.5000, 0.4951)
Ho (0.0820, 0.5000, 0.7469)
Ho (0.5820, 0.0000, 0.7469)
Mg (0.2496, 0.5000, 0.2474)
Mg (0.7496, 0.0000, 0.2474)


Entry 6:
# ReBiH2

An optimized crystal structure of ReBiH2 (PBE, Alexandria).

- energy (eV per atom) = -4.289
- space group = Fm-3m, No. 225

a b c (Å): 5.8204 5.8204 5.8204
angles (deg): 90.00 90.00 90.00
Element x y z (fractional)
Re (0.0000, 0.0000, 0.0000)
Re (0.0000, 0.5000, 0.5000)
Re (0.5000, 0.0000, 0.5000)
Re (0.5000, 0.5000, 0.0000)
Bi (0.0000, 0.0000, 0.5000)
Bi (0.0000, 0.5000, 0.0000)
Bi (0.5000, 0.0000, 0.0000)
Bi (0.5000, 0.5000, 0.5000)
H (0.2500, 0.2500, 0.2500)
H (0.2500, 0.2500, 0.7500)
H (0.2500, 0.7500, 0.2500)
H (0.2500, 0.7500, 0.7500)
H (0.7500, 0.2500, 0.2500)
H (0.7500, 0.2500, 0.7500)
H (0.7500, 0.7500, 0.2500)
H (0.7500, 0.7500, 0.7500)


Entry 7:
# TcSbPt2

An optimized crystal structure of TcSbPt2 (PBE, Alexandria).

- formation energy from raw total energies (eV/f.u.) = 0.40
- space group = I4/mmm, No. 139

a b c (Å): 3.9963 3.9963 8.3613
angles (deg): 90.00 90.00 90.00
Element x y z (fractional)
Tc (0.0000, 0.0000, 0.0000)
Tc (0.5000, 0.5000, 0.5000)
Sb (0.0000, 0.0000, 0.5000)
Sb (0.5000, 0.5000, 0.0000)
Pt (0.0000, 0.5000, 0.2500)
Pt (0.0000, 0.5000, 0.7500)
Pt (0.5000, 0.0000, 0.2500)
Pt (0.5000, 0.0000, 0.7500)


Entry 8:
# HgBi3B

An optimized crystal structure of HgBi3B (PBE, Alexandria).

- ΔE_f (eV per atom) = 1.59
- space group = Pm-3m, No. 221

a b c (Å): 5.7167 5.7167 5.7167
angles (deg): 90.00 90.00 90.00
Element x y z (fractional)
Hg (0.0000, 0.0000, 0.0000)
Bi (0.0000, 0.0000, 0.5000)
Bi (0.0000, 0.5000, 0.0000)
Bi (0.5000, 0.0000, 0.0000)
B (0.5000, 0.5000, 0.5000)


Entry 9:
# TbPmCu2

An optimized crystal structure of TbPmCu2 (PBE, Alexandria).

- ΔE_f (eV per atom) = -0.20
- space group = P4/mmm, No. 123

a b c (Å): 3.5168 3.5168 7.0686
angles (deg): 90.00 90.00 90.00
Element x y z (fractional)
Tb (0.0000, 0.0000, 0.0000)
Pm (0.0000, 0.0000, 0.5000)
Cu (0.5000, 0.5000, 0.2352)
Cu (0.5000, 0.5000, 0.7648)


Entry 10:
# Nd3Ga3Ir

An optimized crystal structure of Nd3Ga3Ir (PBE, Alexandria).

- ΔE_f (eV per atom) = -0.66
- space group = C2/m, No. 12

a b c (Å): 6.0113 6.0113 14.7272
angles (deg): 107.12 107.12 41.90
Element x y z (fractional)
Nd (0.0236, 0.0236, 0.3844)
Nd (0.1128, 0.1128, 0.9213)
Nd (0.2363, 0.2363, 0.2383)
Nd (0.7637, 0.7637, 0.7617)
Nd (0.8872, 0.8872, 0.0787)
Nd (0.9764, 0.9764, 0.6156)
Ga (0.3432, 0.3432, 0.4634)
Ga (0.3978, 0.3978, 0.9254)
Ga (0.4709, 0.4709, 0.7680)
Ga (0.5291, 0.5291, 0.2320)
Ga (0.6022, 0.6022, 0.0746)
Ga (0.6568, 0.6568, 0.5366)
Ir (0.2631, 0.2631, 0.6145)
Ir (0.7369, 0.7369, 0.3855)


Entry 11:
# Rb5SnSe4

An optimized crystal structure of Rb5SnSe4 (PBE, Alexandria).

- formation energy from raw total energies (eV/f.u.) = -9.45
- space group = Pmmn, No. 59

a b c (Å): 10.3243 10.7490 8.1778
angles (deg): 90.00 90.00 90.00
Element x y z (fractional)
Rb (0.0082, 0.0535, 0.2394)
Rb (0.0082, 0.4465, 0.2394)
Rb (0.2500, 0.7500, 0.3371)
Rb (0.4918, 0.0535, 0.2394)
Rb (0.4918, 0.4465, 0.2394)
Rb (0.5082, 0.5535, 0.7606)
Rb (0.5082, 0.9465, 0.7606)
Rb (0.7500, 0.2500, 0.6629)
Rb (0.9918, 0.5535, 0.7606)
Rb (0.9918, 0.9465, 0.7606)
Sn (0.2500, 0.2500, 0.7160)
Sn (0.7500, 0.7500, 0.2840)
Se (0.0268, 0.2500, 0.8986)
Se (0.2500, 0.0361, 0.5301)
Se (0.2500, 0.4639, 0.5301)
Se (0.4732, 0.2500, 0.8986)
Se (0.5268, 0.7500, 0.1014)
Se (0.7500, 0.5361, 0.4699)
Se (0.7500, 0.9639, 0.4699)
Se (0.9732, 0.7500, 0.1014)


Entry 12:
# Tl12Bi6Au

An optimized crystal structure of Tl12Bi6Au (PBE, Alexandria).

- ΔE_f (eV per atom) = 0.00
- space group = R-3, No. 148

a b c (Å): 8.5113 8.5113 8.5113
angles (deg): 89.29 89.29 89.29
Element x y z (fractional)
Tl (0.0180, 0.9258, 0.3078)
Tl (0.0742, 0.6922, 0.9820)
Tl (0.1251, 0.4452, 0.3503)
Tl (0.3078, 0.0180, 0.9258)
Tl (0.3503, 0.1251, 0.4452)
Tl (0.4452, 0.3503, 0.1251)
Tl (0.5548, 0.6497, 0.8749)
Tl (0.6497, 0.8749, 0.5548)
Tl (0.6922, 0.9820, 0.0742)
Tl (0.8749, 0.5548, 0.6497)
Tl (0.9258, 0.3078, 0.0180)
Tl (0.9820, 0.0742, 0.6922)
Bi (0.2401, 0.3927, 0.7401)
Bi (0.2599, 0.7599, 0.6073)
Bi (0.3927, 0.7401, 0.2401)
Bi (0.6073, 0.2599, 0.7599)
Bi (0.7401, 0.2401, 0.3927)
Bi (0.7599, 0.6073, 0.2599)
Au (0.5000, 0.5000, 0.5000)


Entry 13:
# Ta4TiRh5

An optimized crystal structure of Ta4TiRh5 (PBE, Alexandria).

- ΔE_f (eV per atom) = -0.42
- space group = P4/mmm, No. 123

a b c (Å): 3.3556 3.3556 14.2434
angles (deg): 90.00 90.00 90.00
Element x y z (fractional)
Ta (0.0000, 0.0000, 0.1005)
Ta (0.0000, 0.0000, 0.3020)
Ta (0.0000, 0.0000, 0.6980)
Ta (0.0000, 0.0000, 0.8995)
Ti (0.0000, 0.0000, 0.5000)
Rh (0.5000, 0.5000, 0.0000)
Rh (0.5000, 0.5000, 0.1998)
Rh (0.5000, 0.5000, 0.4004)
Rh (0.5000, 0.5000, 0.5996)
Rh (0.5000, 0.5000, 0.8002)


Entry 14:
# Tl12Cd3In

An optimized crystal structure of Tl12Cd3In (PBE, Alexandria).

- ΔE_f (eV per atom) = 0.05
- space group = P4/mmm, No. 123

a b c (Å): 4.7563 4.7563 20.7298
angles (deg): 90.00 90.00 90.00
Element x y z (fractional)
Tl (0.0000, 0.0000, 0.0000)
Tl (0.0000, 0.0000, 0.2482)
Tl (0.0000, 0.0000, 0.5000)
Tl (0.0000, 0.0000, 0.7518)
Tl (0.0000, 0.5000, 0.1236)
Tl (0.0000, 0.5000, 0.3731)
Tl (0.0000, 0.5000, 0.6269)
Tl (0.0000, 0.5000, 0.8764)
Tl (0.5000, 0.0000, 0.1236)
Tl (0.5000, 0.0000, 0.3731)
Tl (0.5000, 0.0000, 0.6269)
Tl (0.5000, 0.0000, 0.8764)
Cd (0.5000, 0.5000, 0.0000)
Cd (0.5000, 0.5000, 0.2475)
Cd (0.5000, 0.5000, 0.7525)
In (0.5000, 0.5000, 0.5000)


Entry 15:
# ZrTl3Si

An optimized crystal structure of ZrTl3Si (PBE, Alexandria).

- formation energy from raw total energies (eV/f.u.) = 4.81
- space group = Pm-3m, No. 221

a b c (Å): 5.6282 5.6282 5.6282
angles (deg): 90.00 90.00 90.00
Element x y z (fractional)
Zr (0.0000, 0.0000, 0.0000)
Tl (0.0000, 0.0000, 0.5000)
Tl (0.0000, 0.5000, 0.0000)
Tl (0.5000, 0.0000, 0.0000)
Si (0.5000, 0.5000, 0.5000)


Entry 16:
# KTi2Ru

An optimized crystal structure of KTi2Ru (PBE, Alexandria).

- ΔE_f (eV per atom) = 1.03
- space group = I4_1/amd, No. 141

a b c (Å): 5.8493 5.8493 14.8624
angles (deg): 90.00 90.00 90.00
Element x y z (fractional)
K (0.0000, 0.2500, 0.3750)
K (0.0000, 0.7500, 0.6250)
K (0.5000, 0.2500, 0.1250)
K (0.5000, 0.7500, 0.8750)
Ti (0.0000, 0.0000, 0.0000)
Ti (0.0000, 0.5000, 0.0000)
Ti (0.2500, 0.2500, 0.7500)
Ti (0.2500, 0.7500, 0.2500)
Ti (0.5000, 0.0000, 0.5000)
Ti (0.5000, 0.5000, 0.5000)
Ti (0.7500, 0.2500, 0.7500)
Ti (0.7500, 0.7500, 0.2500)
Ru (0.0000, 0.2500, 0.8750)
Ru (0.0000, 0.7500, 0.1250)
Ru (0.5000, 0.2500, 0.6250)
Ru (0.5000, 0.7500, 0.3750)


Entry 17:
# Nd3NpSn12

An optimized crystal structure of Nd3NpSn12 (PBE, Alexandria).

- ΔE_f (eV per atom) = -0.41
- space group = P4/mmm, No. 123

a b c (Å): 4.7411 4.7411 18.9414
angles (deg): 90.00 90.00 90.00
Element x y z (fractional)
Nd (0.0000, 0.0000, 0.0000)
Nd (0.0000, 0.0000, 0.2558)
Nd (0.0000, 0.0000, 0.7442)
Np (0.0000, 0.0000, 0.5000)
Sn (0.0000, 0.5000, 0.1273)
Sn (0.0000, 0.5000, 0.3804)
Sn (0.0000, 0.5000, 0.6196)
Sn (0.0000, 0.5000, 0.8727)
Sn (0.5000, 0.0000, 0.1273)
Sn (0.5000, 0.0000, 0.3804)
Sn (0.5000, 0.0000, 0.6196)
Sn (0.5000, 0.0000, 0.8727)
Sn (0.5000, 0.5000, 0.0000)
Sn (0.5000, 0.5000, 0.2533)
Sn (0.5000, 0.5000, 0.5000)
Sn (0.5000, 0.5000, 0.7467)


Entry 18:
# Ce6P2Se3Cl

An optimized crystal structure of Ce6P2Se3Cl (PBE, Alexandria).

- formation energy from raw total energies (eV/f.u.) = -20.19
- space group = C2/m, No. 12

a b c (Å): 9.2587 9.2587 8.2844
angles (deg): 103.29 103.29 25.75
Element x y z (fractional)
Ce (0.0041, 0.0041, 0.2505)
Ce (0.3297, 0.3297, 0.4256)
Ce (0.3333, 0.3333, 0.9063)
Ce (0.6667, 0.6667, 0.0937)
Ce (0.6703, 0.6703, 0.5744)
Ce (0.9959, 0.9959, 0.7495)
P (0.1664, 0.1664, 0.3322)
P (0.8336, 0.8336, 0.6678)
Se (0.1659, 0.1659, 0.8328)
Se (0.5000, 0.5000, 0.5000)
Se (0.8341, 0.8341, 0.1672)
Cl (0.5000, 0.5000, 0.0000)


Entry 19:
# YTlHPb2

An optimized crystal structure of YTlHPb2 (PBE, Alexandria).

- energy (eV per atom) = -4.024
- space group = P4/mmm, No. 123

a b c (Å): 5.1341 5.1341 4.5285
angles (deg): 90.00 90.00 90.00
Element x y z (fractional)
Y (0.0000, 0.0000, 0.0000)
Tl (0.5000, 0.5000, 0.0000)
H (0.0000, 0.0000, 0.5000)
Pb (0.0000, 0.5000, 0.5000)
Pb (0.5000, 0.0000, 0.5000)


Entry 20:
# K4MnSe

An optimized crystal structure of K4MnSe (PBE, Alexandria).

- formation energy from raw total energies (eV/f.u.) = 2.61
- space group = F-43m, No. 216

a b c (Å): 7.0887 7.0887 7.0887
angles (deg): 60.00 60.00 60.00
Element x y z (fractional)
K (0.3767, 0.3767, 0.3767)
K (0.3767, 0.3767, 0.8698)
K (0.3767, 0.8698, 0.3767)
K (0.8698, 0.3767, 0.3767)
Mn (0.0000, 0.0000, 0.0000)
Se (0.7500, 0.7500, 0.7500)


Entry 21:
# RePtCl2

An optimized crystal structure of RePtCl2 (PBE, Alexandria).

- formation energy from raw total energies (eV/f.u.) = 4.27
- space group = P4/mmm, No. 123

a b c (Å): 2.9030 2.9030 8.2997
angles (deg): 90.00 90.00 90.00
Element x y z (fractional)
Re (0.0000, 0.0000, 0.0000)
Pt (0.0000, 0.0000, 0.5000)
Cl (0.5000, 0.5000, 0.1865)
Cl (0.5000, 0.5000, 0.8135)


Entry 22:
# LiTbCu

An optimized crystal structure of LiTbCu (PBE, Alexandria).

- ΔE_f (eV per atom) = -0.01
- space group = P-6m2, No. 187

a b c (Å): 4.4294 4.4294 3.5153
angles (deg): 90.00 90.00 120.00
Element x y z (fractional)
Li (0.0000, 0.0000, 0.0000)
Tb (0.6667, 0.3333, 0.5000)
Cu (0.3333, 0.6667, 0.0000)


Entry 23:
# Li2ZnAu3

An optimized crystal structure of Li2ZnAu3 (PBE, Alexandria).

- ΔE_f (eV per atom) = -0.45
- space group = Cmmm, No. 65

a b c (Å): 7.1722 7.1722 6.0583
angles (deg): 90.00 90.00 143.21
Element x y z (fractional)
Li (0.0000, 0.0000, 0.0000)
Li (0.0000, 0.0000, 0.5000)
Li (0.3340, 0.6660, 0.0000)
Li (0.6660, 0.3340, 0.0000)
Zn (0.3377, 0.6623, 0.5000)
Zn (0.6623, 0.3377, 0.5000)
Au (0.1676, 0.8324, 0.2470)
Au (0.1676, 0.8324, 0.7530)
Au (0.5000, 0.5000, 0.2440)
Au (0.5000, 0.5000, 0.7560)
Au (0.8324, 0.1676, 0.2470)
Au (0.8324, 0.1676, 0.7530)


Entry 24:
# KBaCuO3

An optimized crystal structure of KBaCuO3 (PBE, Alexandria).

- formation energy from raw total energies (eV/f.u.) = -8.60
- space group = C2/m, No. 12

a b c (Å): 7.2409 7.2409 7.9186
angles (deg): 106.56 106.56 31.68
Element x y z (fractional)
K (0.1427, 0.1427, 0.0662)
K (0.8573, 0.8573, 0.9338)
Ba (0.1531, 0.1531, 0.5889)
Ba (0.8469, 0.8469, 0.4111)
Cu (0.4932, 0.4932, 0.7423)
Cu (0.5068, 0.5068, 0.2577)
O (0.0045, 0.0045, 0.2764)
O (0.3537, 0.3537, 0.6644)
O (0.3676, 0.3676, 0.1897)
O (0.6324, 0.6324, 0.8103)
O (0.6463, 0.6463, 0.3356)
O (0.9955, 0.9955, 0.7236)


| no. | Fermi-level density of states (states/eV/atom) |
| --- | --- |
| 1 | 1.232 |
| 2 | 0.596 |
| 3 | 0.412 |
| 4 | 1.440 |
| 5 | 1.366 |
| 6 | 0.677 |
| 7 | 1.308 |
| 8 | 1.170 |
| 9 | 0.528 |
| 10 | 0.907 |
| 11 | 0.489 |
| 12 | 0.343 |
| 13 | 1.184 |
| 14 | 0.716 |
| 15 | 1.102 |
| 16 | 0.953 |
| 17 | 1.090 |
| 18 | 2.478 |
| 19 | 0.338 |
| 20 | 0.534 |
| 21 | 1.303 |
| 22 | 0.903 |
| 23 | 0.218 |
| 24 | 0.693 |